# 1
DFT (PBE-GGA) results for a geometry-optimized Ce2CoIr structure.

For the theoretical density, the calculation gives 10.65 g/cm3. As for the formation energy: -528 meV per atom. Its volume is 20.71 A^3/atom.

The structure belongs to space group P2_1/m (No. 11); the cell edges are 5.9271, 3.9084 and 7.5465 Å and the angles 90.00°, 108.57° and 90.00°. The asymmetric unit holds Ce at (0.2262, 0.2500, 0.4233), Ce at (0.2291, 0.2500, 0.9414), Co at (0.3060, 0.7500, 0.2008) and Ir at (0.3200, 0.7500, 0.7051).

***

# 2
DFT (PBE-GGA) results for a geometry-optimized YInPt structure.

For the theoretical density, the calculation gives 8.40 g/cm3. As for the formation energy: -260 meV per atom. Its volume is 26.29 A^3/atom.

The structure belongs to space group F-43m (No. 216); the cell edges are 6.8073, 6.8073 and 6.8073 Å and the angles 90.00°, 90.00° and 90.00°. The asymmetric unit holds Y at (0.0000, 0.0000, 0.0000), In at (0.2500, 0.2500, 0.7500) and Pt at (0.2500, 0.2500, 0.2500).

***

# 3
DFT (PBE-GGA) results for a geometry-optimized Si2BrCl structure.

For the theoretical density, the calculation gives 2.19 g/cm3. The calculation puts the relative energy among the computed polymorphs at 181 meV/atom. As for the uncorrected formation energy: -0.178 eV per atom. Its volume is 32.45 A^3/atom.

The structure belongs to space group Pm (No. 6); the cell edges are 5.6937, 3.9384 and 5.8705 Å and the angles 90.00°, 99.54° and 90.00°. The asymmetric unit holds Si at (0.0000, 0.0000, 0.0000), Si at (0.0109, 0.5000, 0.2111), Br at (0.3118, 0.0000, 0.8070) and Cl at (0.7249, 0.5000, 0.3919).

***

# 4
DFT (PBE-GGA) results for a geometry-optimized TiSnIr2I structure.

For the theoretical density, the calculation gives 9.50 g/cm3. As for the uncorrected formation energy: 0.774 eV per atom. Its volume is 23.71 A^3/atom.

The structure belongs to space group P4/mmm (No. 123); the cell edges are 4.7319, 4.7319 and 5.2946 Å and the angles 90.00°, 90.00° and 90.00°. The asymmetric unit holds Ti at (0.0000, 0.0000, 0.0000), Sn at (0.5000, 0.5000, 0.5000), Ir at (0.0000, 0.5000, 0.0000) and I at (0.0000, 0.0000, 0.5000).

***

# 5
DFT (PBE-GGA) results for a geometry-optimized BaTaS2Cl structure.

For the theoretical density, the calculation gives 3.76 g/cm3. The calculation puts the relative energy among the computed polymorphs at 2311 meV/atom. As for the uncorrected formation energy: 0.989 eV per atom. Its volume is 36.87 A^3/atom.

The structure belongs to space group P4/mmm (No. 123); the cell edges are 5.7643, 5.7643 and 5.5488 Å and the angles 90.00°, 90.00° and 90.00°. The asymmetric unit holds Ba at (0.0000, 0.0000, 0.0000), Ta at (0.5000, 0.5000, 0.5000), S at (0.0000, 0.5000, 0.0000) and Cl at (0.0000, 0.0000, 0.5000).

***

# 6
DFT (PBE-GGA) results for a geometry-optimized CoCuSi2 structure.

For the theoretical density, the calculation gives 6.34 g/cm3. As for the uncorrected formation energy: -0.012 eV per atom. Its volume is 11.70 A^3/atom.

The structure belongs to space group Fm-3m (No. 225); the cell edges are 5.7198, 5.7198 and 5.7198 Å and the angles 90.00°, 90.00° and 90.00°. The asymmetric unit holds Co at (0.0000, 0.0000, 0.0000), Cu at (0.0000, 0.0000, 0.5000) and Si at (0.2500, 0.2500, 0.2500).